(1)
{
  "formula": "ScCoIr2",
  "functional": "PBEsol",
  "state": "relaxed",
  "lattice": [[-1.925, 1.925, 3.814], [1.925, -1.925, 3.814], [1.925, 1.925, -3.814]],
  "species": ["Sc", "Co", "Ir", "Ir"],
  "fractional_positions": [[0.000, 0.000, 0.000], [0.500, 0.500, 0.000], [0.250, 0.750, 0.500], [0.750, 0.250, 0.500]],
  "crystal_system": "tetragonal"
}

=====

(2)
{
  "formula": "ScCoIr2",
  "functional": "PBEsol",
  "state": "relaxed",
  "lattice": [[1.400, 0.808, 8.494], [-1.400, 0.808, 8.494], [0.000, -1.616, 8.494]],
  "species": ["Sc", "Co", "Ir", "Ir"],
  "fractional_positions": [[0.000, 0.000, 0.000], [0.500, 0.500, 0.500], [0.246, 0.246, 0.246], [0.754, 0.754, 0.754]],
  "crystal_system": "trigonal"
}

=====

(3)
{
  "formula": "Sc2CoIr",
  "functional": "PBEsol",
  "state": "relaxed",
  "lattice": [[0.000, 3.140, 3.140], [3.140, 0.000, 3.140], [3.140, 3.140, 0.000]],
  "species": ["Sc", "Sc", "Co", "Ir"],
  "fractional_positions": [[0.250, 0.250, 0.250], [0.750, 0.750, 0.750], [0.000, 0.000, 0.000], [0.500, 0.500, 0.500]],
  "de_polymorph_kj_per_mol_atoms": 0.0,
  "crystal_system": "cubic"
}

=====

(4)
{
  "formula": "ScCoIr",
  "functional": "PBEsol",
  "state": "relaxed",
  "lattice": [[-1.451, 1.771, 4.290], [1.451, -1.771, 4.290], [1.451, 1.771, -4.290]],
  "species": ["Sc", "Co", "Ir"],
  "fractional_positions": [[0.000, 0.000, 0.000], [0.682, 0.682, 0.000], [0.321, 0.321, 0.000]],
  "de_polymorph_kj_per_mol_atoms": 0.0,
  "crystal_system": "orthorhombic"
}

=====

| no. | calculated formation energy (eV per atom) |
| --- | --- |
| 1 | -0.31 |
| 2 | -0.05 |
| 3 | -0.71 |
| 4 | -0.26 |